1.
The following is a PBE calculation of Zn2IrRu after structural relaxation, from Alexandria.

Geometry as POSCAR:
```
Zn2IrRu
1.0
-3.482 3.482 2.553
3.482 -3.482 2.553
3.482 3.482 -2.553
Zn Ir Ru
4 2 2
Direct
0.123 0.625 0.998
0.375 0.373 0.498
0.627 0.125 0.002
0.875 0.877 0.502
0.000 0.000 0.000
0.750 0.250 0.500
0.250 0.750 0.500
0.500 0.500 0.000
```

Calculated values
- Excess energy over the best structure of this formula in the dataset: 535 meV/atom

---

2.
The following is a PBE calculation of SrAlTe2 after structural relaxation, from Alexandria.

Geometry as POSCAR:
```
SrAlTe2
1.0
-3.419 3.419 7.322
3.419 -3.419 7.322
3.419 3.419 -7.322
Sr Al Te
2 2 4
Direct
0.000 0.000 0.000
0.750 0.250 0.500
0.250 0.750 0.500
0.500 0.500 0.000
0.183 0.625 0.058
0.375 0.433 0.558
0.567 0.125 0.942
0.875 0.817 0.442
```

Calculated values
- Raw formation energy: -702 meV per atom

---

3.
The following is a PBE calculation of CaNbSn2 after structural relaxation, from Alexandria.

Geometry as POSCAR:
```
CaNbSn2
1.0
3.686 0.000 0.000
0.000 3.686 0.000
0.000 0.000 7.050
Ca Nb Sn
1 1 2
Direct
0.000 0.000 0.000
0.000 0.000 0.500
0.500 0.500 0.290
0.500 0.500 0.710
```

Calculated values
- Final energy: -0.192 Ha/atom

---

4.
The following is a PBE calculation of RbSr2Ru after structural relaxation, from Alexandria.

Geometry as POSCAR:
```
RbSr2Ru
1.0
0.000 4.013 4.013
4.013 0.000 4.013
4.013 4.013 0.000
Rb Sr Ru
1 2 1
Direct
0.000 0.000 0.000
0.250 0.250 0.250
0.750 0.750 0.750
0.500 0.500 0.500
```

Calculated values
- Excess energy over the best structure of this formula in the dataset: 113 meV/atom

---

5.
The following is a PBE calculation of ScNb3Te after structural relaxation, from Alexandria.

Geometry as POSCAR:
```
ScNb3Te
1.0
4.840 0.000 0.000
0.000 4.840 0.000
0.000 0.000 4.840
Sc Nb Te
1 3 1
Direct
0.000 0.000 0.000
0.000 0.000 0.500
0.000 0.500 0.000
0.500 0.000 0.000
0.500 0.500 0.500
```

Calculated values
- Raw formation energy: 1453 meV per atom
- Excess energy over the best structure of this formula in the dataset: 395 meV/atom

---

6.
The following is a PBE calculation of Nd3Tm2Tl4 after structural relaxation, from Alexandria.

Geometry as POSCAR:
```
Nd3Tm2Tl4
1.0
5.377 0.000 0.000
-2.689 4.657 0.000
0.000 0.000 10.477
Nd Tm Tl
3 2 4
Direct
0.000 0.000 0.000
0.333 0.667 0.420
0.667 0.333 0.580
0.333 0.667 0.779
0.667 0.333 0.221
0.000 0.000 0.341
0.000 0.000 0.659
0.333 0.667 0.102
0.667 0.333 0.898
```

Calculated values
- Excess energy over the best structure of this formula in the dataset: 0 meV/atom